(1)
The following is a DFT calculation (PBE) of an optimized crystal structure of Sr4Ti3O10.

It has space group I4/mmm (No. 139), with a = 3.942 Å, b = 3.942 Å, c = 28.377 Å, α = 90.00°, β = 90.00° and γ = 90.00°. The inequivalent atoms are Sr at (0.000, 0.000, 0.068), Sr at (0.000, 0.000, 0.202), Ti at (0.000, 0.000, 0.360), Ti at (0.000, 0.000, 0.500), O at (0.000, 0.000, 0.291), O at (0.000, 0.000, 0.431), O at (0.000, 0.500, 0.000) and O at (0.000, 0.500, 0.139).

As for the formation energy without anion corrections: -3102 meV/atom.

(2)
The following is a DFT calculation (PBE) of an optimized crystal structure of CsTe3Au.

It has space group R3m (No. 160, hexagonal axes), with a = 6.9484 Å, b = 6.9484 Å, c = 13.0789 Å, α = 90.00°, β = 90.00° and γ = 120.00°. The inequivalent atoms are Cs at (0.0000, 0.0000, 0.0000), Te at (0.0058, 0.5029, 0.0905) and Au at (0.0000, 0.0000, 0.5930).

As for the formation energy without anion corrections: -205 meV/atom.

(3)
The following is a DFT calculation (PBE) of an optimized crystal structure of Cs2NiPS4.

It has space group Fddd (No. 70, origin choice 2), with a = 5.949 Å, b = 13.547 Å, c = 24.367 Å, α = 90.00°, β = 90.00° and γ = 90.00°. The inequivalent atoms are Cs at (0.125, 0.125, 0.301), Ni at (0.125, 0.125, 0.125), P at (0.125, 0.125, 0.625) and S at (0.095, 0.290, 0.829).

As for the formation energy without anion corrections: -685 meV/atom.

(4)
The following is a DFT calculation (PBE) of an optimized crystal structure of TaSbPb2.

It has space group I-4m2 (No. 119), with a = 4.533 Å, b = 4.533 Å, c = 9.862 Å, α = 90.00°, β = 90.00° and γ = 90.00°. The inequivalent atoms are Ta at (0.000, 0.000, 0.000), Sb at (0.000, 0.500, 0.250), Pb at (0.000, 0.000, 0.500) and Pb at (0.000, 0.500, 0.750).

As for the formation energy without anion corrections: 668 meV/atom.

(5)
The following is a DFT calculation (PBE) of an optimized crystal structure of Cr2PtRh.

It has space group Cmmm (No. 65), with a = 5.317 Å, b = 7.543 Å, c = 2.659 Å, α = 90.00°, β = 90.00° and γ = 90.00°. The inequivalent atoms are Cr at (0.250, 0.250, 0.000), Pt at (0.000, 0.000, 0.500) and Rh at (0.000, 0.500, 0.500).

The formation energy comes out at -0.4 eV/f.u.

(6)
The following is a DFT calculation (PBE) of an optimized crystal structure of RbSmFe2I8.

It has space group C2/m (No. 12), with a = 12.301 Å, b = 8.498 Å, c = 10.805 Å, α = 90.00°, β = 95.51° and γ = 90.00°. The inequivalent atoms are Rb at (0.000, 0.000, 0.000), Sm at (0.000, 0.000, 0.500), Fe at (0.121, 0.500, 0.284), I at (0.014, 0.254, 0.710), I at (0.200, 0.500, 0.074) and I at (0.249, 0.500, 0.494).

As for the formation energy without anion corrections: -720 meV/atom.